TlCr2Ag, optimized geometry, DFT PBE; V = 75 Å³ per cell; space group = P4/mmm, No. 123; N(E_F) = 0.5669 states/eV/atom; total magnetization = 2.006 μB per atom; E_form = 0.63 eV/atom
1.0
3.1676 0.0000 0.0000
0.0000 3.1676 0.0000
0.0000 0.0000 7.5003
Tl Cr Ag
1 2 1
Direct
0.0000 0.0000 0.0000
0.5000 0.5000 0.2656
0.5000 0.5000 0.7344
0.0000 0.0000 0.5000